Material: LiVNF2
Method: DFT, GGA+U
State: optimized geometry

Unit cell a=3.3727 b=3.3727 c=4.2997 alpha=90.00 beta=90.00 gamma=90.00
Last column: nearest neighbours and their distance in Å.
Space group P4/mmm (No. 123)
One atom of each set of equivalent atoms:
Li  0.0000  0.0000  0.0000 (multiplicity 1)  4 F 1.69
V  0.5000  0.5000  0.5000 (multiplicity 1)  4 N 2.38
N  0.0000  0.0000  0.5000 (multiplicity 1)  2 Li 2.15, 4 V 2.38
F  0.0000  0.5000  0.0000 (multiplicity 2)  2 Li 1.69

Output
N(E_F): 0.25 states/eV/f.u.
Calculated total energy: -5.229 eV per atom